[1]
Entry from Alexandria via LeMat-Bulk: Sr3Li5Sn2 after structural relaxation (GGA-PBE).

ΔH_f (0 K), meV per atom: -250
Space group: Ibam (72)

abc: 6.8930 10.0478 10.0478
angles: 73.26 69.94 69.94
Last column: nearest neighbours and their distance in Å.
Sites, in units of the cell vectors:
Sr 0.2500 0.0000 0.0000  4 Sn 3.31, 2 Li 3.34, 2 Sr 3.45
Sr 0.7500 0.0000 0.0000  4 Sn 3.31, 2 Li 3.34, 2 Sr 3.45
Sr 0.3656 0.4008 0.8681  3 Sn 3.40-3.66, 2 Li 3.76
Sr 0.6344 0.5992 0.1319  3 Sn 3.40-3.66, 2 Li 3.76
Sr 0.8656 0.8681 0.4008  3 Sn 3.40-3.66, 2 Li 3.76
Sr 0.1344 0.1319 0.5992  3 Sn 3.40-3.66, 2 Li 3.76
Li 0.2500 0.5000 0.5000  4 Li 2.89
Li 0.7500 0.5000 0.5000  4 Li 2.89
Li 0.4790 0.7710 0.7710  2 Sn 2.93, 2 Li 2.97
Li 0.0210 0.2290 0.2290  2 Sn 2.93, 2 Li 2.97
Li 0.5210 0.2290 0.2290  2 Sn 2.93, 2 Li 2.97
Li 0.9790 0.7710 0.7710  2 Sn 2.93, 2 Li 2.97
Li 0.1315 0.4776 0.2595  1 Sn 2.72, 4 Li 2.89-2.97
Li 0.8685 0.5224 0.7405  1 Sn 2.72, 4 Li 2.89-2.97
Li 0.6315 0.2595 0.4776  1 Sn 2.72, 4 Li 2.89-2.97
Li 0.3685 0.7405 0.5224  1 Sn 2.72, 4 Li 2.89-2.97
Sn 0.1393 0.6963 0.0250  3 Li 2.72-2.93
Sn 0.8607 0.3037 0.9750  3 Li 2.72-2.93
Sn 0.6393 0.0250 0.6963  3 Li 2.72-2.93
Sn 0.3607 0.9750 0.3037  3 Li 2.72-2.93


[2]
Entry from Alexandria via LeMat-Bulk: Sr3LiSn12 after structural relaxation (GGA-PBE).

ΔH_f (0 K), meV per atom: -314
Space group: P4/mmm (123)

abc: 4.8231 4.8231 19.2074
angles: 90.00 90.00 90.00
Last column: nearest neighbours and their distance in Å.
Sites, in units of the cell vectors:
Sr 0.0000 0.0000 0.2453  12 Sn 3.41-3.49
Sr 0.0000 0.0000 0.5000  12 Sn 3.41-3.44
Sr 0.0000 0.0000 0.7547  12 Sn 3.41-3.49
Li 0.0000 0.0000 0.0000  12 Sn 3.25-3.41
Sn 0.5000 0.5000 0.0000  8 Sn 3.25, 4 Li 3.41
Sn 0.5000 0.5000 0.2422  4 Sr 3.41, 8 Sn 3.45-3.47
Sn 0.5000 0.5000 0.5000  4 Sr 3.41, 8 Sn 3.44
Sn 0.5000 0.5000 0.7578  4 Sr 3.41, 8 Sn 3.45-3.47
Sn 0.5000 0.0000 0.1136  2 Li 3.25, 8 Sn 3.25-3.45, 2 Sr 3.49
Sn 0.5000 0.0000 0.3720  8 Sn 3.41-3.47, 4 Sr 3.43-3.44
Sn 0.5000 0.0000 0.6280  8 Sn 3.41-3.47, 4 Sr 3.43-3.44
Sn 0.5000 0.0000 0.8864  2 Li 3.25, 8 Sn 3.25-3.45, 2 Sr 3.49
Sn 0.0000 0.5000 0.1136  8 Sn 3.25-3.45, 2 Li 3.25, 2 Sr 3.49
Sn 0.0000 0.5000 0.3720  8 Sn 3.41-3.47, 4 Sr 3.43-3.44
Sn 0.0000 0.5000 0.6280  8 Sn 3.41-3.47, 4 Sr 3.43-3.44
Sn 0.0000 0.5000 0.8864  8 Sn 3.25-3.45, 2 Li 3.25, 2 Sr 3.49


[3]
Entry from Alexandria via LeMat-Bulk: SrLiSn5 after structural relaxation (GGA-PBE).

ΔH_f (0 K), meV per atom: -239
Space group: P4/mmm (123)

abc: 4.7655 4.7655 8.3104
angles: 90.00 90.00 90.00
Last column: nearest neighbours and their distance in Å.
Sites, in units of the cell vectors:
Sr 0.0000 0.0000 0.5000  12 Sn 3.37-3.48
Li 0.5000 0.5000 0.0000  8 Sn 2.88
Sn 0.0000 0.5000 0.8059  2 Li 2.88
Sn 0.0000 0.5000 0.1941  2 Li 2.88
Sn 0.5000 0.0000 0.8059  2 Li 2.88
Sn 0.5000 0.0000 0.1941  2 Li 2.88
Sn 0.5000 0.5000 0.5000  4 Sr 3.37, 8 Sn 3.48


[4]
Entry from Alexandria via LeMat-Bulk: SrLi3Sn after structural relaxation (GGA-PBE).

E above lowest polymorph, meV/atom: 1049.3
ΔH_f (0 K), meV per atom: 784
Space group: Pm-3m (221)

abc: 5.4313 5.4313 5.4313
angles: 90.00 90.00 90.00
Last column: nearest neighbours and their distance in Å.
Sites, in units of the cell vectors:
Sr 0.0000 0.0000 0.0000  6 Li 2.72
Sn 0.5000 0.5000 0.5000  12 Li 3.84
Li 0.0000 0.5000 0.0000  2 Sr 2.72
Li 0.0000 0.0000 0.5000  2 Sr 2.72
Li 0.5000 0.0000 0.0000  2 Sr 2.72


[5]
Entry from Alexandria via LeMat-Bulk: Sr2LiSn after structural relaxation (GGA-PBE).

ΔH_f (0 K), meV per atom: 198
Space group: R-3m (166)

abc: 3.8885 3.8885 12.6988
angles: 81.19 81.19 60.00
Last column: nearest neighbours and their distance in Å.
Sites, in units of the cell vectors:
Sr 0.0886 0.0886 0.7342  1 Sn 3.32, 3 Li 3.69
Sr 0.9114 0.9114 0.2658  1 Sn 3.32, 3 Li 3.69
Sn 0.0000 0.0000 0.0000  2 Sr 3.32
Li 0.5000 0.5000 0.5000  6 Sr 3.69, 6 Li 3.89


[6]
Entry from Alexandria via LeMat-Bulk: SrLi4Sn12 after structural relaxation (GGA-PBE).

ΔH_f (0 K), meV per atom: -45
Space group: Im-3 (204)

abc: 8.3163 8.3163 8.3163
angles: 109.47 109.47 109.47
Last column: nearest neighbours and their distance in Å.
Sites, in units of the cell vectors:
Sr 0.0000 0.0000 0.0000  12 Sn 3.72, 8 Li 4.16
Li 0.0000 0.5000 0.0000  6 Sn 2.67
Li 0.5000 0.0000 0.0000  6 Sn 2.67
Li 0.5000 0.5000 0.5000  6 Sn 2.67
Li 0.0000 0.0000 0.5000  6 Sn 2.67
Sn 0.8259 0.3465 0.1724  2 Li 2.67, 1 Sn 2.95
Sn 0.3465 0.5206 0.1741  2 Li 2.67, 1 Sn 2.95
Sn 0.8276 0.1741 0.6535  2 Li 2.67, 1 Sn 2.95
Sn 0.3465 0.1724 0.8259  2 Li 2.67, 1 Sn 2.95
Sn 0.1724 0.8259 0.3465  2 Li 2.67, 1 Sn 2.95
Sn 0.6535 0.4794 0.8259  2 Li 2.67, 1 Sn 2.95
Sn 0.5206 0.1741 0.3465  2 Li 2.67, 1 Sn 2.95
Sn 0.4794 0.8259 0.6535  2 Li 2.67, 1 Sn 2.95
Sn 0.6535 0.8276 0.1741  2 Li 2.67, 1 Sn 2.95
Sn 0.8259 0.6535 0.4794  2 Li 2.67, 1 Sn 2.95
Sn 0.1741 0.3465 0.5206  2 Li 2.67, 1 Sn 2.95
Sn 0.1741 0.6535 0.8276  2 Li 2.67, 1 Sn 2.95


[7]
Entry from Alexandria via LeMat-Bulk: SrLi4Sn after structural relaxation (GGA-PBE).

E above lowest polymorph, meV/atom: 50.0
ΔH_f (0 K), meV per atom: -190
Space group: Cmcm (63)

abc: 4.6762 6.8636 9.3186
angles: 90.00 104.53 90.00
Last column: nearest neighbours and their distance in Å.
Sites, in units of the cell vectors:
Sr 0.3830 0.7500 0.7660  2 Li 3.11
Sr 0.6170 0.2500 0.2340  2 Li 3.11
Li 0.2638 0.4235 0.5277  3 Li 2.38-2.61
Li 0.7362 0.5765 0.4723  3 Li 2.38-2.61
Li 0.2638 0.0765 0.5277  3 Li 2.38-2.61
Li 0.7362 0.9235 0.4723  3 Li 2.38-2.61
Li 0.5765 0.7500 0.1529  2 Sn 2.86, 2 Li 3.12
Li 0.4235 0.2500 0.8471  2 Sn 2.86, 2 Li 3.12
Li 0.0000 0.5000 0.0000  6 Li 3.21-3.43, 2 Sn 3.48, 4 Sr 3.59
Li 0.0000 0.0000 0.0000  6 Li 3.21-3.43, 2 Sn 3.48, 4 Sr 3.59
Sn 0.1677 0.7500 0.3353  8 Li 2.83-2.90
Sn 0.8323 0.2500 0.6647  8 Li 2.83-2.90


[8]
Entry from Alexandria via LeMat-Bulk: Sr2LiSn after structural relaxation (GGA-PBE).

ΔH_f (0 K), meV per atom: 256
Space group: Immm (71)

abc: 7.6414 7.6414 7.6414
angles: 151.30 57.96 130.79
Last column: nearest neighbours and their distance in Å.
Sites, in units of the cell vectors:
Sr 0.7481 0.0000 0.7481  1 Sn 3.32, 1 Li 3.37, 4 Sr 3.70
Sr 0.2519 0.0000 0.2519  1 Sn 3.32, 1 Li 3.37, 4 Sr 3.70
Li 0.0000 0.0000 0.0000  2 Sr 3.37, 4 Sn 3.70
Sn 0.5000 0.0000 0.5000  2 Sr 3.32, 4 Li 3.70


[9]
Entry from Alexandria via LeMat-Bulk: SrLi4Sn after structural relaxation (GGA-PBE).

E above lowest polymorph, meV/atom: 0.0
ΔH_f (0 K), meV per atom: -240
Space group: F-43m (216)

abc: 5.7325 5.7325 5.7325
angles: 60.00 60.00 60.00
Last column: nearest neighbours and their distance in Å.
Sites, in units of the cell vectors:
Sr 0.2500 0.2500 0.2500  12 Li 3.36, 4 Sn 3.51
Sn 0.0000 0.0000 0.0000  12 Li 3.36, 4 Sr 3.51
Li 0.6263 0.6263 0.1212  6 Li 2.84-2.90
Li 0.6263 0.1212 0.6263  6 Li 2.84-2.90
Li 0.6263 0.6263 0.6263  6 Li 2.84-2.90
Li 0.1212 0.6263 0.6263  6 Li 2.84-2.90


[10]
Entry from Alexandria via LeMat-Bulk: SrLi3Sn3 after structural relaxation (GGA-PBE).

ΔH_f (0 K), meV per atom: 17
Space group: Pm-3n (223)

abc: 7.3650 7.3650 7.3650
angles: 90.00 90.00 90.00
Last column: nearest neighbours and their distance in Å.
Sites, in units of the cell vectors:
Sr 0.5000 0.5000 0.5000  12 Sn 4.12, 12 Li 4.12
Sr 0.0000 0.0000 0.0000  12 Sn 4.12, 12 Li 4.12
Sn 0.2500 0.0000 0.5000  4 Li 2.60
Sn 0.0000 0.5000 0.2500  4 Li 2.60
Sn 0.5000 0.7500 0.0000  4 Li 2.60
Sn 0.7500 0.0000 0.5000  4 Li 2.60
Sn 0.0000 0.5000 0.7500  4 Li 2.60
Sn 0.5000 0.2500 0.0000  4 Li 2.60
Li 0.0000 0.2500 0.5000  4 Sn 2.60
Li 0.0000 0.7500 0.5000  4 Sn 2.60
Li 0.5000 0.0000 0.7500  4 Sn 2.60
Li 0.7500 0.5000 0.0000  4 Sn 2.60
Li 0.5000 0.0000 0.2500  4 Sn 2.60
Li 0.2500 0.5000 0.0000  4 Sn 2.60


[11]
Entry from Alexandria via LeMat-Bulk: Sr2LiSn after structural relaxation (GGA-PBE).

ΔH_f (0 K), meV per atom: -383
Space group: P4/mmm (123)

abc: 4.0419 5.7688 5.7688
angles: 90.00 90.00 90.00
Last column: nearest neighbours and their distance in Å.
Sites, in units of the cell vectors:
Sr 0.0000 0.0000 0.5000  4 Sn 3.52, 4 Li 3.52
Sr 0.0000 0.5000 0.0000  4 Sn 3.52, 4 Li 3.52
Sn 0.5000 0.5000 0.5000  8 Sr 3.52
Li 0.5000 0.0000 0.0000  8 Sr 3.52


[12]
Entry from Alexandria via LeMat-Bulk: Sr2LiSn2 after structural relaxation (GGA-PBE).

E above lowest polymorph, meV/atom: 72.4
ΔH_f (0 K), meV per atom: -522
Space group: P4/mbm (127)

abc: 8.1519 8.1519 4.9553
angles: 90.00 90.00 90.00
Last column: nearest neighbours and their distance in Å.
Sites, in units of the cell vectors:
Sr 0.1679 0.6679 0.5000  6 Sn 3.39-3.49
Sr 0.6679 0.8321 0.5000  6 Sn 3.39-3.49
Sr 0.8321 0.3321 0.5000  6 Sn 3.39-3.49
Sr 0.3321 0.1679 0.5000  6 Sn 3.39-3.49
Sn 0.3691 0.8691 0.0000  1 Sn 3.02, 2 Li 3.19
Sn 0.8691 0.6309 0.0000  1 Sn 3.02, 2 Li 3.19
Sn 0.6309 0.1309 0.0000  1 Sn 3.02, 2 Li 3.19
Sn 0.1309 0.3691 0.0000  1 Sn 3.02, 2 Li 3.19
Li 0.0000 0.0000 0.0000  4 Sn 3.19
Li 0.5000 0.5000 0.0000  4 Sn 3.19